(1)
A plane-wave DFT calculation with PBE-GGA was carried out for crystalline K8Rb6H at its relaxed geometry.

Electronic total energy: -1.1865 eV/atom

Lattice parameters (Å, degrees): 10.652 10.652 10.652 72.74 72.74 72.74
Sites, in units of the cell vectors:
K 0.026 0.910 0.292
K 0.090 0.708 0.974
K 0.248 0.248 0.248
K 0.292 0.026 0.910
K 0.708 0.974 0.090
K 0.752 0.752 0.752
K 0.910 0.292 0.026
K 0.974 0.090 0.708
Rb 0.171 0.473 0.610
Rb 0.390 0.829 0.527
Rb 0.473 0.610 0.171
Rb 0.527 0.390 0.829
Rb 0.610 0.171 0.473
Rb 0.829 0.527 0.390
H 0.000 0.000 0.000

---

(2)
A plane-wave DFT calculation with PBE-GGA was carried out for crystalline Li2VCd2 at its relaxed geometry.

Formation enthalpy at 0 K: 96 kJ/mol of formula units
Relative energy among the computed polymorphs: 50 meV/atom

Lattice parameters (Å, degrees): 7.772 7.772 3.040 90.00 90.00 90.00
Sites, in units of the cell vectors:
Li 0.160 0.340 0.000
Li 0.340 0.840 0.000
Li 0.660 0.160 0.000
Li 0.840 0.660 0.000
V 0.000 0.000 0.500
V 0.500 0.500 0.500
Cd 0.140 0.640 0.500
Cd 0.360 0.140 0.500
Cd 0.640 0.860 0.500
Cd 0.860 0.360 0.500

---

(3)
A plane-wave DFT calculation with PBE-GGA was carried out for crystalline Rb3CrS at its relaxed geometry.

Relative energy among the computed polymorphs: 0 meV/atom
ΔE_f (raw): 19 meV/atom

Lattice parameters (Å, degrees): 6.421 6.421 6.421 90.00 90.00 90.00
Sites, in units of the cell vectors:
Rb 0.000 0.000 0.500
Rb 0.000 0.500 0.000
Rb 0.500 0.000 0.000
Cr 0.500 0.500 0.500
S 0.000 0.000 0.000

---

(4)
A plane-wave DFT calculation with PBE-GGA was carried out for crystalline UTl2Pb2Se6 at its relaxed geometry.

ΔE_f (raw): -711 meV/atom

Lattice parameters (Å, degrees): 7.429 7.429 7.985 99.39 99.39 118.84
Sites, in units of the cell vectors:
U 0.000 0.000 0.000
Tl 0.171 0.829 0.500
Tl 0.829 0.171 0.500
Pb 0.330 0.670 0.000
Pb 0.670 0.330 0.000
Se 0.071 0.370 0.208
Se 0.218 0.218 0.788
Se 0.370 0.071 0.208
Se 0.630 0.929 0.792
Se 0.782 0.782 0.212
Se 0.929 0.630 0.792

---

(5)
A plane-wave DFT calculation with PBE-GGA was carried out for crystalline Cd5SnHg3 at its relaxed geometry.

Formation enthalpy at 0 K: 23 kJ/mol of formula units
Relative energy among the computed polymorphs: 0 meV/atom

Lattice parameters (Å, degrees): 7.288 7.781 9.365 114.14 111.20 90.20
Sites, in units of the cell vectors:
Cd 0.042 0.165 0.197
Cd 0.305 0.845 0.136
Cd 0.316 0.840 0.649
Cd 0.349 0.143 0.012
Cd 0.376 0.159 0.532
Cd 0.624 0.841 0.468
Cd 0.651 0.857 0.988
Cd 0.684 0.160 0.351
Cd 0.695 0.155 0.864
Cd 0.958 0.835 0.803
Sn 0.025 0.156 0.690
Sn 0.975 0.844 0.310
Hg 0.000 0.500 0.500
Hg 0.176 0.499 0.161
Hg 0.342 0.512 0.834
Hg 0.500 0.500 0.500
Hg 0.658 0.488 0.166
Hg 0.824 0.501 0.839

---

(6)
A plane-wave DFT calculation with PBE-GGA was carried out for crystalline CaZn2Fe at its relaxed geometry.

Formation enthalpy at 0 K: 21 kJ/mol of formula units

Lattice parameters (Å, degrees): 5.643 5.643 5.643 44.46 44.46 44.46
Sites, in units of the cell vectors:
Ca 0.000 0.000 0.000
Zn 0.202 0.202 0.202
Zn 0.798 0.798 0.798
Fe 0.500 0.500 0.500

---

(7)
A plane-wave DFT calculation with PBE-GGA was carried out for crystalline Tb3ScAl at its relaxed geometry.

Formation enthalpy at 0 K: -57 kJ/mol of formula units
Relative energy among the computed polymorphs: 0 meV/atom

Lattice parameters (Å, degrees): 12.203 12.203 4.723 90.00 90.00 157.71
Sites, in units of the cell vectors:
Tb 0.056 0.944 0.750
Tb 0.249 0.751 0.750
Tb 0.443 0.557 0.750
Tb 0.557 0.443 0.250
Tb 0.751 0.249 0.250
Tb 0.944 0.056 0.250
Sc 0.152 0.848 0.250
Sc 0.848 0.152 0.750
Al 0.346 0.654 0.250
Al 0.654 0.346 0.750

---

(8)
A plane-wave DFT calculation with PBE-GGA was carried out for crystalline RbNaRh3 at its relaxed geometry.

Formation enthalpy at 0 K: 767 kJ/mol of formula units
Relative energy among the computed polymorphs: 0 meV/atom

Lattice parameters (Å, degrees): 4.929 4.929 4.929 90.00 90.00 90.00
Sites, in units of the cell vectors:
Rb 0.000 0.000 0.000
Na 0.500 0.500 0.500
Rh 0.000 0.500 0.500
Rh 0.500 0.000 0.500
Rh 0.500 0.500 0.000

---

(9)
A plane-wave DFT calculation with PBE-GGA was carried out for crystalline TaFeOs2Se at its relaxed geometry.

ΔE_f (raw): 1334 meV/atom

Lattice parameters (Å, degrees): 4.537 4.537 4.235 90.00 90.00 90.00
Sites, in units of the cell vectors:
Ta 0.000 0.000 0.000
Fe 0.500 0.500 0.000
Os 0.000 0.500 0.500
Os 0.500 0.000 0.500
Se 0.500 0.500 0.500

---

(10)
A plane-wave DFT calculation with PBE-GGA was carried out for crystalline Tl2MoBr at its relaxed geometry.

Relative energy among the computed polymorphs: 600 meV/atom
ΔE_f (raw): 870 meV/atom

Lattice parameters (Å, degrees): 9.989 9.989 9.989 148.56 148.56 45.06
Sites, in units of the cell vectors:
Tl 0.049 0.625 0.924
Tl 0.375 0.299 0.424
Tl 0.701 0.125 0.076
Tl 0.875 0.951 0.576
Mo 0.000 0.000 0.000
Mo 0.750 0.250 0.500
Br 0.250 0.750 0.500
Br 0.500 0.500 0.000

---

(11)
A plane-wave DFT calculation with PBE-GGA was carried out for crystalline YSiAg2 at its relaxed geometry.

ΔE_f (raw): -225 meV/atom

Lattice parameters (Å, degrees): 3.423 4.298 5.754 90.00 107.09 90.00
Sites, in units of the cell vectors:
Y 0.000 0.000 0.000
Si 0.406 0.500 0.809
Ag 0.271 0.000 0.538
Ag 0.675 0.500 0.348

---

(12)
A plane-wave DFT calculation with PBE-GGA was carried out for crystalline Ca2TbPm at its relaxed geometry.

Formation enthalpy at 0 K: 43 kJ/mol of formula units
Relative energy among the computed polymorphs: 67 meV/atom

Lattice parameters (Å, degrees): 12.503 12.503 12.503 16.98 16.98 16.98
Sites, in units of the cell vectors:
Ca 0.000 0.000 0.000
Ca 0.164 0.164 0.164
Tb 0.749 0.749 0.749
Pm 0.582 0.582 0.582